Compound: RuWOF2
Source: Alexandria via LeMat-Bulk
Functional: PBE with a Hubbard U
Structure: optimized geometry

a = 4.2434 Å, b = 4.2434 Å, c = 3.9115 Å
α = 90.00°, β = 90.00°, γ = 90.00°
Closest atoms and distances in Å follow each position.
Atoms (fractional coordinates):
Ru: 0.5000 0.5000 0.5000  8 F 2.89, 4 O 3.00
F: 0.0000 0.5000 0.0000  2 W 2.12
O: 0.0000 0.0000 0.5000  2 W 1.96
F: 0.5000 0.0000 0.0000  2 W 2.12
W: 0.0000 0.0000 0.0000  2 O 1.96, 4 F 2.12

Properties
Distance to the lowest polymorph of the same formula, eV/atom: 0.0000
Magnetic moment, μB/f.u.: 0.756
Volume, Å³ per cell: 70
Space-group type: No. 123
VASP energy, eV per atom: -5.346